1.
MnP2: optimized geometry, GGA-PBE.

Unit cell a=5.7861 b=5.7861 c=4.4268 alpha=90.00 beta=90.00 gamma=150.00
Element x y z (fractional)
Mn 0.2006 0.7994 0.7500
Mn 0.7994 0.2006 0.2500
P 0.1443 0.8557 0.2500
P 0.4628 0.5372 0.2500
P 0.5372 0.4628 0.7500
P 0.8557 0.1443 0.7500

Summary:
Crystal system = orthorhombic
Formation energy = -0.21 eV/atom
DFT total energy = -6.87 eV/atom

=====

2.
MnP2: optimized geometry, GGA-PBE.

Unit cell a=4.3903 b=4.3903 c=6.5996 alpha=100.58 beta=100.58 gamma=38.48
Element x y z (fractional)
Mn 0.0000 0.0000 0.0000
Mn 0.2206 0.2206 0.4213
P 0.2964 0.2964 0.1131
P 0.5090 0.5090 0.4491
P 0.5795 0.5795 0.7940
P 0.8058 0.8058 0.6928

Summary:
Crystal system = monoclinic
Formation energy = -0.19 eV/atom
DFT total energy = -6.86 eV/atom

=====

3.
MnP2: optimized geometry, GGA-PBE.

Unit cell a=4.3904 b=4.3904 c=4.8871 alpha=90.00 beta=90.00 gamma=120.00
Element x y z (fractional)
Mn 0.3333 0.6667 0.2500
Mn 0.6667 0.3333 0.7500
P 0.0000 0.0000 0.0000
P 0.0000 0.0000 0.5000
P 0.3333 0.6667 0.7500
P 0.6667 0.3333 0.2500

Summary:
Crystal system = hexagonal
Formation energy = 0.29 eV/atom
DFT total energy = -6.38 eV/atom

=====

Going through the records in order, we get volume values of 74.1, 77.6, 81.6 Å³/cell.